# 1
A plane-wave DFT calculation with GGA-PBE was carried out for a geometry-optimized Ho2ZrTe5 structure.

**Energy**: -5.25 eV per atom
**ΔE_f (raw)**: -1.075 eV per atom

abc: 5.975 7.730 14.195
angles: 90.00 90.00 112.73
Sites, in units of the cell vectors:
Te1 0.954 0.908 0.622
Te2 0.736 0.472 0.250
Te3 0.046 0.092 0.378
Te4 0.264 0.528 0.750
Te5 0.674 0.349 0.581
Te6 0.326 0.651 0.081
Te7 0.046 0.092 0.122
Te8 0.674 0.349 0.919
Te9 0.326 0.651 0.419
Te10 0.954 0.908 0.878
Ho1 0.843 0.687 0.442
Ho2 0.843 0.687 0.058
Ho3 0.157 0.313 0.942
Ho4 0.157 0.313 0.558
Zr1 0.196 0.392 0.250
Zr2 0.804 0.608 0.750

# 2
A plane-wave DFT calculation with GGA-PBE was carried out for a geometry-optimized Ho2Zr2Te7 structure.

**Energy**: -5.39 eV per atom
**ΔE_f (raw)**: -0.999 eV per atom

abc: 4.139 9.399 9.399
angles: 60.93 77.28 77.28
Sites, in units of the cell vectors:
Zr1 0.500 0.327 0.673
Zr2 0.000 0.773 0.227
Te1 0.136 0.161 0.567
Te2 0.396 0.704 0.504
Te3 0.822 0.059 0.297
Te4 0.604 0.496 0.296
Te5 0.178 0.703 0.941
Te6 0.500 0.011 0.989
Te7 0.864 0.433 0.839
Ho1 0.271 0.323 0.136
Ho2 0.729 0.864 0.677

# 3
A plane-wave DFT calculation with GGA-PBE was carried out for a geometry-optimized Ho5Th4 structure.

**Energy**: -5.71 eV per atom
**E_form**: 0.131 eV per atom
**Energy relative to the lowest polymorph listed for this composition**: 87 meV/atom

abc: 3.621 9.074 9.074
angles: 87.72 78.49 78.49
Sites, in units of the cell vectors:
Ho1 0.333 0.333 0.000
Ho2 0.667 0.000 0.667
Ho3 0.667 0.667 0.000
Ho4 0.333 0.000 0.333
Ho5 0.000 0.000 0.000
Th1 0.000 0.336 0.664
Th2 0.664 0.336 0.336
Th3 0.336 0.664 0.664
Th4 0.000 0.664 0.336

# 4
A plane-wave DFT calculation with GGA-PBE was carried out for a geometry-optimized HoTh4 structure.

**Energy**: -5.84 eV per atom
**E_form**: 1.011 eV per atom
**Energy relative to the lowest polymorph listed for this composition**: 992 meV/atom

abc: 5.691 5.691 5.691
angles: 90.00 90.00 90.00
Sites, in units of the cell vectors:
Ho1 0.500 0.500 0.500
Th1 0.000 0.500 0.500
Th2 0.500 0.500 0.000
Th3 0.000 0.000 0.000
Th4 0.500 0.000 0.500

# 5
A plane-wave DFT calculation with GGA-PBE was carried out for a geometry-optimized Ho5Th2 structure.

**Energy**: -5.22 eV per atom
**E_form**: 0.173 eV per atom
**Energy relative to the lowest polymorph listed for this composition**: 43 meV/atom

abc: 5.617 5.617 8.766
angles: 71.31 71.31 60.00
Sites, in units of the cell vectors:
Ho1 0.077 0.077 0.768
Ho2 0.222 0.222 0.334
Ho3 0.778 0.778 0.666
Ho4 0.923 0.923 0.232
Ho5 0.500 0.500 0.500
Th1 0.363 0.363 0.912
Th2 0.637 0.637 0.088

# 6
A plane-wave DFT calculation with GGA-PBE was carried out for a geometry-optimized HoTh2 structure.

**Energy**: -6.19 eV per atom
**E_form**: 0.278 eV per atom
**Energy relative to the lowest polymorph listed for this composition**: 238 meV/atom

abc: 6.607 6.607 6.607
angles: 60.00 60.00 60.00
Sites, in units of the cell vectors:
Ho1 0.250 0.250 0.250
Ho2 0.000 0.000 0.000
Th1 0.625 0.125 0.625
Th2 0.625 0.625 0.125
Th3 0.125 0.625 0.625
Th4 0.625 0.625 0.625